# 1
VASP calculation (GGA-PBE) on crystalline NaGaSiS4 at its relaxed geometry.

Values from the calculation:
calculated volume	161.4	Å³/f.u.

a = 7.8287 Å, b = 11.5515 Å, c = 7.1396 Å
α = 90.00°, β = 90.00°, γ = 90.00°
Space group Cmcm (No. 63)
Symmetry-distinct sites (fractional):
Na: 0.0000 0.0000 0.0000 (multiplicity 4)
Ga: 0.0000 0.3704 0.2500 (multiplicity 4)
Si: 0.0000 0.3684 0.7500 (multiplicity 4)
S: 0.0000 0.2540 0.5130 (multiplicity 8)
S: 0.2101 0.4885 0.7500 (multiplicity 8)

# 2
VASP calculation (GGA-PBE) on crystalline Na2SmGaS4 at its relaxed geometry.

Values from the calculation:
calculated volume	172.8	Å³/f.u.

a = 7.5670 Å, b = 8.1300 Å, c = 11.2363 Å
α = 90.00°, β = 90.00°, γ = 90.00°
Space group Imma (No. 74)
Symmetry-distinct sites (fractional):
Na: 0.0000 0.0000 0.0000 (multiplicity 4)
Na: 0.2500 0.2500 0.2500 (multiplicity 4)
Sm: 0.0000 0.0000 0.5000 (multiplicity 4)
Ga: 0.2500 0.2500 0.7500 (multiplicity 4)
S: 0.0000 0.0429 0.7501 (multiplicity 8)
S: 0.2476 0.2500 0.5087 (multiplicity 8)

# 3
VASP calculation (GGA-PBE) on crystalline Na4Sm3GaS8 at its relaxed geometry.

Values from the calculation:
calculated volume	368.6	Å³/f.u.

a = 13.8093 Å, b = 7.9567 Å, c = 8.1383 Å
α = 90.00°, β = 124.47°, γ = 90.00°
Space group C2/m (No. 12)
Symmetry-distinct sites (fractional):
Na: 0.0000 0.0000 0.0000 (multiplicity 2)
Na: 0.0000 0.5000 0.0000 (multiplicity 2)
Na: 0.2500 0.2500 0.0000 (multiplicity 4)
Sm: 0.0000 0.0000 0.5000 (multiplicity 2)
Sm: 0.2500 0.2500 0.5000 (multiplicity 4)
Ga: 0.0000 0.5000 0.5000 (multiplicity 2)
S: 0.0033 0.2687 0.2786 (multiplicity 8)
S: 0.2330 0.5000 0.7256 (multiplicity 4)
S: 0.2441 0.0000 0.7329 (multiplicity 4)

# 4
VASP calculation (GGA-PBE) on crystalline NaGaSn2S4 at its relaxed geometry.

Values from the calculation:
calculated volume	210.9	Å³/f.u.

a = 8.1518 Å, b = 8.6524 Å, c = 5.9816 Å
α = 90.00°, β = 90.00°, γ = 90.00°
Space group Pmn2_1 (No. 31)
Symmetry-distinct sites (fractional):
Na: 0.0000 0.0939 0.0000 (multiplicity 2)
Ga: 0.0000 0.7985 0.4576 (multiplicity 2)
Sn: 0.2056 0.3347 0.4838 (multiplicity 4)
S: 0.0000 0.0565 0.5210 (multiplicity 2)
S: 0.0000 0.7717 0.0653 (multiplicity 2)
S: 0.2445 0.6760 0.5456 (multiplicity 4)

# 5
VASP calculation (GGA-PBE) on crystalline NaGaSn2S6 at its relaxed geometry.

Values from the calculation:
calculated volume	273.0	Å³/f.u.

a = 13.1125 Å, b = 12.5559 Å, c = 7.1677 Å
α = 90.00°, β = 112.26°, γ = 90.00°
Space group C2/c (No. 15)
Symmetry-distinct sites (fractional):
Na: 0.0000 0.1257 0.2500 (multiplicity 4)
Ga: 0.0000 0.1918 0.7500 (multiplicity 4)
Sn: 0.1944 0.4191 0.1777 (multiplicity 8)
S: 0.1068 0.0703 0.6548 (multiplicity 8)
S: 0.1218 0.2429 0.0631 (multiplicity 8)
S: 0.1257 0.4298 0.4554 (multiplicity 8)

# 6
VASP calculation (GGA-PBE) on crystalline NaGaSnS4 at its relaxed geometry.

Values from the calculation:
calculated volume	178.1	Å³/f.u.

a = 7.9024 Å, b = 11.9997 Å, c = 7.5111 Å
α = 90.00°, β = 90.00°, γ = 90.00°
Space group Cmcm (No. 63)
Symmetry-distinct sites (fractional):
Na: 0.0000 0.0000 0.0000 (multiplicity 4)
Ga: 0.0000 0.3645 0.2500 (multiplicity 4)
Sn: 0.0000 0.3653 0.7500 (multiplicity 4)
S: 0.0000 0.2457 0.0096 (multiplicity 8)
S: 0.2207 0.4924 0.2500 (multiplicity 8)

# 7
VASP calculation (GGA-PBE) on crystalline Na2GaSnS5 at its relaxed geometry.

Values from the calculation:
calculated volume	209.3	Å³/f.u.

a = 3.5573 Å, b = 17.6845 Å, c = 13.3081 Å
α = 90.00°, β = 90.00°, γ = 90.00°
Space group Cmc2_1 (No. 36)
Symmetry-distinct sites (fractional):
Na: 0.0000 0.0945 0.0000 (multiplicity 4)
Na: 0.0000 0.1274 0.6608 (multiplicity 4)
Ga: 0.0000 0.4315 0.7724 (multiplicity 4)
Sn: 0.0000 0.2229 0.3829 (multiplicity 4)
S: 0.0000 0.0596 0.3814 (multiplicity 4)
S: 0.0000 0.2745 0.0165 (multiplicity 4)
S: 0.0000 0.3005 0.7431 (multiplicity 4)
S: 0.0000 0.3603 0.3408 (multiplicity 4)
S: 0.0000 0.4945 0.6271 (multiplicity 4)

# 8
VASP calculation (GGA-PBE) on crystalline Na2SrGaS4 at its relaxed geometry.

Values from the calculation:
calculated volume	193.9	Å³/f.u.

a = 7.2415 Å, b = 7.2415 Å, c = 7.3953 Å
α = 90.00°, β = 90.00°, γ = 90.00°
Space group I-42m (No. 121)
Symmetry-distinct sites (fractional):
Na: 0.0000 0.5000 0.2500 (multiplicity 4)
Sr: 0.0000 0.0000 0.0000 (multiplicity 2)
Ga: 0.0000 0.0000 0.5000 (multiplicity 2)
S: 0.1883 0.1883 0.3322 (multiplicity 8)

Record-wise M_tot values, in μB/f.u.: 0.000; 0.000; 0.000; 0.000; 0.000; 0.000; 0.404; 0.773
Record-wise energy values, in eV for the cell shown: -127.75; -147.34; -159.38; -67.76; -168.68; -118.32; -144.45; -64.44